# 1
# LaThZn

LaThZn after structural relaxation (PBE, OQMD).

Summary:
- calculated volume (Å³/cell) = 92.4
- electronic total energy (eV per atom) = -4.417
- ΔH_f (0 K) (meV/atom) = 116.9
- M_tot (μB per formula unit) = 0.00
- energy relative to the lowest polymorph listed for this composition (kJ/mol of formula units) = 0

abc: 5.075 5.075 5.075
angles: 60.00 60.00 60.00
Positions (direct):
Zn: 0.000 0.000 0.000
La: 0.250 0.250 0.250
Th: 0.750 0.750 0.750

=====

# 2
# LaThZr

LaThZr after structural relaxation (PBE, OQMD).

Summary:
- calculated volume (Å³/cell) = 97.1
- electronic total energy (eV per atom) = -6.015
- ΔH_f (0 K) (meV/atom) = 945.4
- M_tot (μB per formula unit) = 0.07

abc: 5.159 5.159 5.159
angles: 60.00 60.00 60.00
Positions (direct):
Zr: 0.750 0.750 0.750
La: 0.000 0.000 0.000
Th: 0.250 0.250 0.250

=====

# 3
# LaTmTl

LaTmTl after structural relaxation (PBE, OQMD).

Summary:
- calculated volume (Å³/cell) = 104.2
- electronic total energy (eV per atom) = -3.965
- M_tot (μB per formula unit) = 0.14
- energy relative to the lowest polymorph listed for this composition (kJ/mol of formula units) = 0

abc: 5.282 5.282 5.282
angles: 60.00 60.00 60.00
Positions (direct):
Tl: 0.000 0.000 0.000
La: 0.250 0.250 0.250
Tm: 0.750 0.750 0.750

=====

# 4
# LaTlZn

LaTlZn after structural relaxation (PBE, OQMD).

Summary:
- calculated volume (Å³/cell) = 158.3
- electronic total energy (eV per atom) = -3.255
- M_tot (μB per formula unit) = 0.00

abc: 4.838 4.838 7.809
angles: 90.00 90.00 120.00
Positions (direct):
Zn: 0.667 0.333 0.546
Zn: 0.333 0.667 0.047
Tl: 0.667 0.333 0.125
Tl: 0.333 0.667 0.625
La: 0.000 0.000 0.847
La: 0.000 0.000 0.347

=====

Question: Among the records above, which one has the highest electronic total energy?
Answer: LaTlZn

=====

Question: Among the records above, which one has the lowest electronic total energy?
Answer: LaThZr

=====

Question: Look up the electronic total energy of the fourth one.
Answer: -3.255 eV per atom